Entry from Alexandria via LeMat-Bulk: an optimized crystal structure of Dy4Y7Mg (PBE-GGA).

Geometry as CIF:
```
data_Dy4Y7Mg
_chemical_formula_sum 'Dy4 Y7 Mg1'
_space_group_name_H-M_alt 'P -1'
_space_group_IT_number 2
_space_group_name_Hall '-P 1'
_cell_length_a 6.6328
_cell_length_b 6.8978
_cell_length_c 8.8991
_cell_angle_alpha 104.35
_cell_angle_beta 99.45
_cell_angle_gamma 100.57
loop_
_atom_site_label
_atom_site_type_symbol
_atom_site_fract_x
_atom_site_fract_y
_atom_site_fract_z
_atom_site_occupancy
Dy1 Dy 0.1572 0.3181 0.1928 1
Dy2 Dy 0.1890 0.8057 0.1642 1
Y1 Y 0.0000 0.0000 0.5000 1
Y2 Y 0.3000 0.0263 0.8674 1
Y3 Y 0.3215 0.5070 0.8217 1
Y4 Y 0.4715 0.7539 0.5187 1
Mg1 Mg 0.0000 0.5000 0.5000 1
```

Output
spin magnetization = 0.000 Bohr magnetons per cell
formation energy = 32 meV/atom